[1]
VASP calculation (PBE) on La2NdTe after structural relaxation.

The space group is P4/mmm (No. 123) and the conventional cell measures 4.948, 4.948 and 4.989 Å, with angles of 90.00, 90.00 and 90.00 degrees. Symmetry generates all atoms from La at (0.000, 0.500, 0.000), Nd at (0.000, 0.000, 0.500) and Te at (0.500, 0.500, 0.500).

As for the volume: 122 Å³ per cell. For the formation energy without anion corrections, the calculation gives -0.61 eV/atom. The calculation puts the magnetic moment at 0.000 μB/cell. The calculation puts the energy relative to the lowest polymorph listed for this composition at 0.32 kcal/mol of atoms. The crystal system is tetragonal.

***

[2]
VASP calculation (PBE) on NdNiP after structural relaxation.

The space group is P6_3/mmc (No. 194) and the conventional cell measures 3.9677, 3.9677 and 16.2277 Å, with angles of 90.00, 90.00 and 120.00 degrees. Symmetry generates all atoms from Nd at (0.0000, 0.0000, 0.0000), Nd at (0.0000, 0.0000, 0.2500), Ni at (0.3333, 0.6667, 0.1243) and P at (0.3333, 0.6667, 0.6254).

As for the energy relative to the elements: -1150.1 meV per atom. As for the volume: 221 Å³ per cell. The calculation puts the magnetic moment at 0.000 μB/cell. The crystal system is hexagonal.

***

[3]
VASP calculation (PBE) on Ba4ZnSe after structural relaxation.

The space group is F-43m (No. 216) and the conventional cell measures 10.223, 10.223 and 10.223 Å, with angles of 90.00, 90.00 and 90.00 degrees. Symmetry generates all atoms from Ba at (0.124, 0.124, 0.124), Zn at (0.000, 0.000, 0.500) and Se at (0.250, 0.250, 0.750).

As for the volume: 1069 Å³ per cell. For the formation energy without anion corrections, the calculation gives 0.22 eV/atom. The calculation puts the magnetic moment at 6.601 μB/cell. The crystal system is cubic.

***

[4]
VASP calculation (PBE) on Rb3YRe after structural relaxation.

The space group is Pm-3m (No. 221) and the conventional cell measures 7.433, 7.433 and 7.433 Å, with angles of 90.00, 90.00 and 90.00 degrees. Symmetry generates all atoms from Rb at (0.000, 0.000, 0.500), Y at (0.000, 0.000, 0.000) and Re at (0.500, 0.500, 0.500).

As for the energy relative to the elements: 2186.4 meV per atom. As for the volume: 411 Å³ per cell. The calculation puts the magnetic moment at 8.148 μB/cell. The calculation puts the energy relative to the lowest polymorph listed for this composition at 4.24 kcal/mol of atoms. The crystal system is cubic.

***

[5]
VASP calculation (PBE) on KVAsCl6 after structural relaxation.

The space group is P312 (No. 149) and the conventional cell measures 6.5579, 6.5579 and 6.9564 Å, with angles of 90.00, 90.00 and 120.00 degrees. Symmetry generates all atoms from K at (0.0000, 0.0000, 0.0000), V at (0.3333, 0.6667, 0.5000), As at (0.6667, 0.3333, 0.5000) and Cl at (0.0069, 0.3753, 0.7029).

As for the volume: 259 Å³ per cell. For the formation energy without anion corrections, the calculation gives -1.12 eV/atom. The calculation puts the magnetic moment at 3.000 μB/cell. The crystal system is trigonal.

***

[6]
VASP calculation (PBE) on AlSbMo2 after structural relaxation.

The space group is P4/mmm (No. 123) and the conventional cell measures 3.395, 3.395 and 5.975 Å, with angles of 90.00, 90.00 and 90.00 degrees. Symmetry generates all atoms from Al at (0.000, 0.000, 0.000), Sb at (0.000, 0.000, 0.500) and Mo at (0.500, 0.500, 0.215).

As for the volume: 69 Å³ per cell. For the formation energy without anion corrections, the calculation gives 0.19 eV/atom. The calculation puts the magnetic moment at 0.000 μB/cell. The calculation puts the energy relative to the lowest polymorph listed for this composition at 5.70 kcal/mol of atoms. The crystal system is tetragonal.

***

[7]
VASP calculation (PBE) on PuMgZnIr after structural relaxation.

The space group is F-43m (No. 216) and the conventional cell measures 6.691, 6.691 and 6.691 Å, with angles of 90.00, 90.00 and 90.00 degrees. Symmetry generates all atoms from Pu at (0.000, 0.000, 0.000), Mg at (0.250, 0.250, 0.250), Zn at (0.000, 0.000, 0.500) and Ir at (0.250, 0.250, 0.750).

As for the energy relative to the elements: -111.0 meV per atom. As for the volume: 300 Å³ per cell. The calculation puts the magnetic moment at 22.135 μB/cell. The crystal system is cubic.

***

[8]
VASP calculation (PBE) on Y4Ho3Tm3 after structural relaxation.

The space group is Amm2 (No. 38) and the conventional cell measures 3.695, 13.075 and 13.081 Å, with angles of 90.00, 90.00 and 90.00 degrees. Symmetry generates all atoms from Y at (0.000, 0.000, 0.000), Y at (0.000, 0.000, 0.256), Y at (0.000, 0.128, 0.629), Ho at (0.500, 0.000, 0.457), Ho at (0.500, 0.171, 0.128), Tm at (0.000, 0.249, 0.878) and Tm at (0.500, 0.000, 0.799).

As for the energy relative to the elements: 113.0 meV per atom. As for the volume: 632 Å³ per cell. The calculation puts the magnetic moment at 0.000 μB/cell. The crystal system is orthorhombic.

***

[9]
VASP calculation (PBE) on NaIrPdF2 after structural relaxation.

The space group is P4/mmm (No. 123) and the conventional cell measures 4.192, 4.192 and 5.091 Å, with angles of 90.00, 90.00 and 90.00 degrees. Symmetry generates all atoms from Na at (0.000, 0.000, 0.000), Ir at (0.500, 0.500, 0.500), Pd at (0.500, 0.500, 0.000) and F at (0.000, 0.500, 0.500).

As for the volume: 89 Å³ per cell. For the formation energy without anion corrections, the calculation gives -0.42 eV/atom. The calculation puts the magnetic moment at 0.750 μB/cell. The crystal system is tetragonal.

***

[10]
VASP calculation (PBE) on AlIr3 after structural relaxation.

The space group is P6_3/mmc (No. 194) and the conventional cell measures 5.5102, 5.5102 and 4.3756 Å, with angles of 90.00, 90.00 and 120.00 degrees. Symmetry generates all atoms from Al at (0.3333, 0.6667, 0.2500) and Ir at (0.1679, 0.3358, 0.7500).

As for the energy relative to the elements: -327.5 meV per atom. As for the volume: 115 Å³ per cell. The calculation puts the magnetic moment at 0.000 μB/cell. The crystal system is hexagonal.

***

[11]
VASP calculation (PBE) on BeSN2O after structural relaxation.

The space group is P4/mmm (No. 123) and the conventional cell measures 3.094, 3.094 and 7.281 Å, with angles of 90.00, 90.00 and 90.00 degrees. Symmetry generates all atoms from Be at (0.000, 0.000, 0.000), S at (0.000, 0.000, 0.500), N at (0.000, 0.500, 0.000) and O at (0.500, 0.500, 0.500).

As for the volume: 70 Å³ per cell. For the formation energy without anion corrections, the calculation gives 1.30 eV/atom. The calculation puts the magnetic moment at 0.000 μB/cell. The crystal system is tetragonal.

***

[12]
VASP calculation (PBE) on GaCuAg2 after structural relaxation.

The space group is R3m (No. 160, hexagonal axes) and the conventional cell measures 2.9083, 2.9083 and 26.8801 Å, with angles of 90.00, 90.00 and 120.00 degrees. Symmetry generates all atoms from Ga at (0.0000, 0.0000, 0.0000), Cu at (0.0000, 0.0000, 0.8333), Ag at (0.0000, 0.0000, 0.2469) and Ag at (0.0000, 0.0000, 0.4197).

As for the energy relative to the elements: 71.9 meV per atom. As for the volume: 197 Å³ per cell. The calculation puts the magnetic moment at 0.000 μB/cell. The crystal system is trigonal.